Material: MnH2SeO5
Method: DFT, SCAN
State: PBEsol geometry

Unit cell a=6.948 b=8.330 c=7.833 alpha=90.00 beta=116.00 gamma=90.00
Space group C2/c (No. 15)
Inequivalent atoms, fractional coordinates:
Mn  0.250  0.250  0.000
H  0.089  0.043  0.707
Se  0.000  0.418  0.250
O  0.000  0.114  0.750
O  0.012  0.307  0.078
O  0.219  0.463  0.841

## Properties
volume	407.5	Å³/cell
calculated density	3.520	Mg/m³
DFT total energy	-348.61	eV/cell


Material: KCrSn2
Method: DFT, SCAN
State: PBEsol geometry

Unit cell a=7.225 b=7.225 c=7.225 alpha=90.00 beta=90.00 gamma=90.00
Space group Fm-3m (No. 225)
Inequivalent atoms, fractional coordinates:
K  0.000  0.000  0.000
Cr  0.000  0.000  0.500
Sn  0.250  0.250  0.250

## Properties
volume	377.1	Å³/cell
calculated density	5.786	Mg/m³
ΔE_f	0.19	eV per atom


Look up the calculated density of the first one.
3.520 Mg/m³


Which of these has the lowest volume?
KCrSn2


What is the calculated density in the first record?
3.520 Mg/m³


Which of these has the highest calculated density?
KCrSn2